A relaxed ThGaCo crystal, computed with PBE-GGA.

Unit cell a=3.212 b=3.212 c=5.950 alpha=105.66 beta=105.66 gamma=90.00
Element x y z (fractional)
Ga 0.298 0.298 0.596
Th 0.013 0.013 0.025
Co 0.689 0.689 0.378

Raw total energy = -6.07 eV/atom